(1)
Computed, not measured: Li9Sc4Sn11 after structural relaxation at the PBE-GGA level of DFT. Values from VASP.

Output
Spin magnetization (μB per formula unit): 0.5
Raw total energy (eV/atom): -3.98
Formation energy (kJ per mole of atoms): -36
Density (g/cm3): 4.9

The structure in Quantum ESPRESSO input format:
```
&SYSTEM
  ibrav = 0, nat = 24, ntyp = 3
/
ATOMIC_SPECIES
Sn 118.71 Sn.upf
Li 6.94 Li.upf
Sc 44.96 Sc.upf
CELL_PARAMETERS angstrom
-0.9789 -2.2643 -2.0587
10.4160 -7.6989 3.5150
-11.2043 -1.6945 7.1913
ATOMIC_POSITIONS crystal
Sn 0.0000 0.1895 0.8105
Sn 0.0000 0.8105 0.1895
Sn 0.0000 0.0000 0.0000
Sn 0.0000 0.9656 0.5932
Sn 0.0000 0.2195 0.2195
Sn 0.0000 0.0344 0.4068
Sn 0.0000 0.6144 0.3856
Sn 0.0000 0.4068 0.0344
Sn 0.0000 0.5932 0.9656
Sn 0.0000 0.3856 0.6144
Sn 0.0000 0.7805 0.7805
Li 0.5000 0.5000 0.5000
Li 0.5000 0.0073 0.1921
Li 0.5000 0.3804 0.8222
Li 0.5000 0.9927 0.8079
Li 0.5000 0.8079 0.9927
Li 0.5000 0.1921 0.0073
Li 0.5000 0.6196 0.1778
Li 0.5000 0.1778 0.6196
Li 0.5000 0.8222 0.3804
Sc 0.5000 0.4158 0.2316
Sc 0.5000 0.5842 0.7684
Sc 0.5000 0.7684 0.5842
Sc 0.5000 0.2316 0.4158
```



(2)
Computed, not measured: MgTl2Ni2 after structural relaxation at the PBE-GGA level of DFT. Values from VASP.

Output
Spin magnetization (μB per formula unit): 0.0
Raw total energy (eV/atom): -3.36
Formation energy (kJ per mole of atoms): 21
Density (g/cm3): 9.1

The structure in Quantum ESPRESSO input format:
```
&SYSTEM
  ibrav = 0, nat = 5, ntyp = 3
/
ATOMIC_SPECIES
Ni 58.69 Ni.upf
Mg 24.30 Mg.upf
Tl 204.38 Tl.upf
CELL_PARAMETERS angstrom
3.4311 0.0000 0.0000
0.0000 3.4311 0.0000
1.7156 1.7156 8.5425
ATOMIC_POSITIONS crystal
Ni 0.7500 0.2500 0.5000
Ni 0.2500 0.7500 0.5000
Mg 0.0000 0.0000 0.0000
Tl 0.3752 0.3752 0.2495
Tl 0.6248 0.6248 0.7505
```



(3)
Computed, not measured: Cr2TcMo after structural relaxation at the PBE-GGA level of DFT. Values from VASP.

Output
Spin magnetization (μB per formula unit): 0.0
Raw total energy (eV/atom): -9.80
Formation energy (kJ per mole of atoms): 30
Density (g/cm3): 9.0

The structure in Quantum ESPRESSO input format:
```
&SYSTEM
  ibrav = 0, nat = 4, ntyp = 3
/
ATOMIC_SPECIES
Mo 95.94 Mo.upf
Tc 98.00 Tc.upf
Cr 52.00 Cr.upf
CELL_PARAMETERS angstrom
8.3180 -0.0108 -0.0064
7.8534 2.7410 -0.0064
7.8534 1.3259 2.3990
ATOMIC_POSITIONS crystal
Mo 0.5028 0.5028 0.5028
Tc 0.7452 0.7452 0.7452
Cr 0.9940 0.9940 0.9940
Cr 0.2581 0.2581 0.2581
```



(4)
Computed, not measured: Gd2IrOs after structural relaxation at the PBE-GGA level of DFT. Values from VASP.

Output
Spin magnetization (μB per formula unit): 14.0
Raw total energy (eV/atom): -12.43
Formation energy (kJ per mole of atoms): -35
Density (g/cm3): 14.1

The structure in Quantum ESPRESSO input format:
```
&SYSTEM
  ibrav = 0, nat = 4, ntyp = 3
/
ATOMIC_SPECIES
Gd 157.25 Gd.upf
Ir 192.22 Ir.upf
Os 190.23 Os.upf
CELL_PARAMETERS angstrom
-2.5415 1.3597 1.9067
-2.0995 -2.5695 -0.9661
2.0572 -3.7055 5.3847
ATOMIC_POSITIONS crystal
Gd 0.0000 0.0000 0.2469
Gd 0.0000 0.0000 0.7531
Ir 0.5000 0.5000 0.5000
Os 0.5000 0.5000 0.0000
```



(5)
Computed, not measured: DyPu2Zn2Si2 after structural relaxation at the PBE-GGA level of DFT. Values from VASP.

Output
Spin magnetization (μB per formula unit): 0.0
Raw total energy (eV/atom): -6.93
Density (g/cm3): 11.2

The structure in Quantum ESPRESSO input format:
```
&SYSTEM
  ibrav = 0, nat = 7, ntyp = 4
/
ATOMIC_SPECIES
Zn 65.41 Zn.upf
Pu 244.00 Pu.upf
Dy 162.50 Dy.upf
Si 28.09 Si.upf
CELL_PARAMETERS angstrom
4.0067 0.0000 0.0000
2.0034 3.4699 0.0000
2.0034 1.1566 8.9531
ATOMIC_POSITIONS crystal
Zn 0.5937 0.5937 0.2188
Zn 0.4063 0.4063 0.7812
Pu 0.8494 0.8494 0.4519
Pu 0.1506 0.1506 0.5481
Dy 0.0000 0.0000 0.0000
Si 0.7418 0.7418 0.7746
Si 0.2582 0.2582 0.2254
```



(6)
Computed, not measured: LaMn after structural relaxation at the PBE-GGA level of DFT. Values from VASP.

Output
Spin magnetization (μB per formula unit): 3.6
Raw total energy (eV/atom): -6.47
Formation energy (kJ per mole of atoms): 56
Density (g/cm3): 6.3

The structure in Quantum ESPRESSO input format:
```
&SYSTEM
  ibrav = 0, nat = 2, ntyp = 2
/
ATOMIC_SPECIES
Mn 54.94 Mn.upf
La 138.91 La.upf
CELL_PARAMETERS angstrom
3.4525 0.0000 0.0000
-1.7263 2.9900 0.0000
0.0000 0.0000 4.9480
ATOMIC_POSITIONS crystal
Mn 0.3333 0.6667 0.5000
La 0.0000 0.0000 0.0000
```



(7)
Computed, not measured: Pr12Ga5Pb after structural relaxation at the PBE-GGA level of DFT. Values from VASP.

Output
Spin magnetization (μB per formula unit): 0.0
Raw total energy (eV/atom): -4.63
Formation energy (kJ per mole of atoms): -38
Density (g/cm3): 6.7

The structure in Quantum ESPRESSO input format:
```
&SYSTEM
  ibrav = 0, nat = 18, ntyp = 3
/
ATOMIC_SPECIES
Ga 69.72 Ga.upf
Pr 140.91 Pr.upf
Pb 207.20 Pb.upf
CELL_PARAMETERS angstrom
-8.6586 2.3187 -0.8241
1.3492 -5.7021 6.8332
5.2873 7.0117 1.9767
ATOMIC_POSITIONS crystal
Ga 0.5000 0.8817 0.3817
Ga 0.6389 0.6389 0.0000
Ga 0.0000 0.0000 0.0000
Ga 0.3611 0.3611 0.0000
Ga 0.5000 0.1183 0.6183
Pr 0.0957 0.8186 0.2771
Pr 0.8028 0.0322 0.2295
Pr 0.4585 0.1814 0.2771
Pr 0.7042 0.6800 0.3842
Pr 0.2958 0.6800 0.9758
Pr 0.5415 0.8186 0.7229
Pr 0.8028 0.5733 0.7705
Pr 0.1972 0.9678 0.7705
Pr 0.7042 0.3200 0.0242
Pr 0.2958 0.3200 0.6158
Pr 0.9043 0.1814 0.7229
Pr 0.1972 0.4267 0.2295
Pb 0.0000 0.5000 0.5000
```



(8)
Computed, not measured: BeCdPd4 after structural relaxation at the PBE-GGA level of DFT. Values from VASP.

Output
Spin magnetization (μB per formula unit): 0.0
Raw total energy (eV/atom): -4.47
Formation energy (kJ per mole of atoms): -22
Density (g/cm3): 9.6

The structure in Quantum ESPRESSO input format:
```
&SYSTEM
  ibrav = 0, nat = 12, ntyp = 3
/
ATOMIC_SPECIES
Pd 106.42 Pd.upf
Be 9.01 Be.upf
Cd 112.41 Cd.upf
CELL_PARAMETERS angstrom
-2.0427 -0.9625 -4.0447
-2.3742 -4.0587 2.1649
-6.4153 4.4446 1.2971
ATOMIC_POSITIONS crystal
Pd 0.9672 0.5867 0.2098
Pd 0.0328 0.4133 0.7902
Pd 0.5328 0.0867 0.7902
Pd 0.9425 0.1023 0.3548
Pd 0.0575 0.8977 0.6452
Pd 0.4672 0.9133 0.2098
Pd 0.4425 0.3977 0.3548
Pd 0.5575 0.6023 0.6452
Be 0.0000 0.5000 0.5000
Be 0.5000 0.0000 0.5000
Cd 0.0000 0.0000 0.0000
Cd 0.5000 0.5000 0.0000
```



(9)
Computed, not measured: CdGaTe3 after structural relaxation at the PBE-GGA level of DFT. Values from VASP.

Output
Spin magnetization (μB per formula unit): 0.0
Raw total energy (eV/atom): -2.35
Density (g/cm3): 5.9

The structure in Quantum ESPRESSO input format:
```
&SYSTEM
  ibrav = 0, nat = 5, ntyp = 3
/
ATOMIC_SPECIES
Te 127.60 Te.upf
Ga 69.72 Ga.upf
Cd 112.41 Cd.upf
CELL_PARAMETERS angstrom
5.4146 0.0000 0.0000
0.0000 5.4146 0.0000
0.0000 0.0000 5.4146
ATOMIC_POSITIONS crystal
Te 0.5000 0.0000 0.0000
Te 0.0000 0.5000 0.0000
Te 0.0000 0.0000 0.5000
Ga 0.0000 0.0000 0.0000
Cd 0.5000 0.5000 0.5000
```



(10)
Computed, not measured: MgSb2Pd4 after structural relaxation at the PBE-GGA level of DFT. Values from VASP.

Output
Spin magnetization (μB per formula unit): 0.0
Raw total energy (eV/atom): -4.84
Density (g/cm3): 8.8

The structure in Quantum ESPRESSO input format:
```
&SYSTEM
  ibrav = 0, nat = 7, ntyp = 3
/
ATOMIC_SPECIES
Pd 106.42 Pd.upf
Sb 121.76 Sb.upf
Mg 24.30 Mg.upf
CELL_PARAMETERS angstrom
-0.6265 -3.8039 -2.2653
4.4000 -0.7884 0.1070
-0.7147 -3.2263 5.6152
ATOMIC_POSITIONS crystal
Pd 0.5000 0.0000 0.2543
Pd 0.5000 0.0000 0.7457
Pd 0.0000 0.5000 0.2543
Pd 0.0000 0.5000 0.7457
Sb 0.0000 0.0000 0.0000
Sb 0.5000 0.5000 0.5000
Mg 0.5000 0.5000 0.0000
```



(11)
Computed, not measured: Zr2CdMo after structural relaxation at the PBE-GGA level of DFT. Values from VASP.

Output
Spin magnetization (μB per formula unit): 0.0
Raw total energy (eV/atom): -6.92
Formation energy (kJ per mole of atoms): 28
Density (g/cm3): 7.8

The structure in Quantum ESPRESSO input format:
```
&SYSTEM
  ibrav = 0, nat = 4, ntyp = 3
/
ATOMIC_SPECIES
Zr 91.22 Zr.upf
Mo 95.94 Mo.upf
Cd 112.41 Cd.upf
CELL_PARAMETERS angstrom
-4.9299 -0.1787 -9.0258
-4.8261 -3.2063 -8.4987
-7.0926 -1.5129 -7.2943
ATOMIC_POSITIONS crystal
Zr 0.0035 0.0035 0.0035
Zr 0.2501 0.2501 0.2501
Mo 0.7504 0.7504 0.7504
Cd 0.4960 0.4960 0.4960
```



(12)
Computed, not measured: RbBaSbI2 after structural relaxation at the PBE-GGA level of DFT. Values from VASP.

Output
Spin magnetization (μB per formula unit): 2.0
Raw total energy (eV/atom): -2.86
Density (g/cm3): 3.1

The structure in Quantum ESPRESSO input format:
```
&SYSTEM
  ibrav = 0, nat = 5, ntyp = 4
/
ATOMIC_SPECIES
Ba 137.33 Ba.upf
I 126.90 I.upf
Sb 121.76 Sb.upf
Rb 85.47 Rb.upf
CELL_PARAMETERS angstrom
6.7867 0.0000 0.0000
0.0000 6.7867 0.0000
0.0000 0.0000 6.9293
ATOMIC_POSITIONS crystal
Ba 0.0000 0.0000 0.0000
I 0.5000 0.0000 0.0000
I 0.0000 0.5000 0.0000
Sb 0.0000 0.0000 0.5000
Rb 0.5000 0.5000 0.5000
```